Record 1
YPuTl4 after structural relaxation, computed with GGA-PBE.

Cell lengths 5.241, 12.345, 5.208 Å; angles 90.00, 89.99, 90.00 degrees
Last column: magnetic moment on the atom in μB.
Atoms (fractional coordinates):
Pu  0.000  0.000  0.000  5.67
Pu  0.500  0.500  0.000  5.67
Tl  0.000  0.833  0.500  0.02
Tl  0.500  0.830  0.000  0.00
Tl  0.000  0.167  0.500  0.02
Tl  0.500  0.667  0.500  0.02
Tl  0.500  0.333  0.500  0.02
Tl  0.500  0.170  0.000  0.00
Tl  0.000  0.670  0.000  0.00
Tl  0.000  0.330  0.000  0.00
Y  0.500  0.000  0.500  0.28
Y  0.000  0.500  0.500  0.28

Properties
- E: -61.034 eV for the cell shown
- Energy of formation: -0.98 kcal/mol of atoms

=====

Record 2
Y2Pu2Tl3 after structural relaxation, computed with GGA-PBE.

Cell lengths 4.701, 3.442, 11.903 Å; angles 90.00, 78.61, 90.00 degrees
Last column: magnetic moment on the atom in μB.
Atoms (fractional coordinates):
Y  0.574  0.500  0.853  0.18
Y  0.426  0.500  0.147  0.18
Pu  0.287  0.500  0.427  5.73
Pu  0.713  0.500  0.573  5.73
Tl  0.148  0.000  0.704  -0.03
Tl  0.000  0.000  0.000  0.02
Tl  0.852  0.000  0.296  -0.03

Properties
- E: -49.525 eV for the cell shown
- Energy of formation: -2.75 kcal/mol of atoms

=====

Record 3
Y2PuTl after structural relaxation, computed with GGA-PBE.

Cell lengths 3.549, 3.549, 9.062 Å; angles 90.00, 90.00, 90.00 degrees
Last column: magnetic moment on the atom in μB.
Atoms (fractional coordinates):
Y  0.000  0.000  0.236  0.06
Y  0.000  0.000  0.764  0.06
Tl  0.500  0.500  0.000  -0.02
Pu  0.500  0.500  0.500  5.47

Properties
- E: -29.946 eV for the cell shown
- Energy of formation: -1.84 kcal/mol of atoms
- Polymorph energy (0 for the lowest one): 0.000 eV/atom

=====

Record 4
Pu2TlZn after structural relaxation, computed with GGA-PBE.

Cell lengths 3.345, 3.345, 10.655 Å; angles 80.97, 80.97, 60.00 degrees
Last column: magnetic moment on the atom in μB.
Atoms (fractional coordinates):
Zn  0.000  0.000  0.000  0.00
Tl  0.500  0.500  0.500  -0.01
Pu  0.256  0.256  0.232  5.54
Pu  0.744  0.744  0.768  5.54

Properties
- E: -31.812 eV for the cell shown
- Energy of formation: 2.84 kcal/mol of atoms

=====

Record 5
Pu2TlZn after structural relaxation, computed with GGA-PBE.

Cell lengths 3.241, 3.241, 9.184 Å; angles 90.00, 90.00, 90.00 degrees
Last column: magnetic moment on the atom in μB.
Atoms (fractional coordinates):
Tl  0.500  0.500  0.500  -0.04
Zn  0.500  0.500  0.000  0.01
Pu  0.000  0.000  0.229  5.50
Pu  0.000  0.000  0.771  5.50

Properties
- E: -32.407 eV for the cell shown
- Energy of formation: -0.59 kcal/mol of atoms

=====

Record 6
Pu5Tl3Zn3 after structural relaxation, computed with GGA-PBE.

Cell lengths 3.190, 10.044, 10.044 Å; angles 120.00, 90.00, 90.00 degrees
Last column: magnetic moment on the atom in μB.
Atoms (fractional coordinates):
Pu  0.500  0.344  0.000  5.83
Pu  0.500  0.667  0.333  5.82
Pu  0.500  0.656  0.656  5.83
Pu  0.500  0.000  0.344  5.83
Pu  0.500  0.333  0.667  5.82
Tl  0.000  0.626  0.000  -0.04
Tl  0.000  0.000  0.626  -0.04
Tl  0.000  0.374  0.374  -0.04
Zn  0.500  0.144  0.144  0.05
Zn  0.500  0.856  0.000  0.05
Zn  0.500  0.000  0.856  0.05

Properties
- E: -80.119 eV for the cell shown
- Energy of formation: 5.16 kcal/mol of atoms